[1]
First-principles (PBE) data for a geometry-optimized CrTeAs structure, as listed in Alexandria via LeMat-Bulk. Values from VASP.

Geometry as Quantum ESPRESSO input:
```
&SYSTEM
  ibrav = 0, nat = 12, ntyp = 3
/
ATOMIC_SPECIES
Cr 52.00 Cr.upf
Te 127.60 Te.upf
As 74.92 As.upf
ATOMIC_POSITIONS crystal
Cr 0.220 0.247 0.000
Cr 0.247 0.780 0.500
Cr 0.753 0.220 0.500
Cr 0.780 0.753 0.000
Te 0.201 0.480 0.500
Te 0.480 0.799 0.000
Te 0.520 0.201 0.000
Te 0.799 0.520 0.500
As 0.048 0.781 0.000
As 0.219 0.048 0.500
As 0.781 0.952 0.500
As 0.952 0.219 0.000
CELL_PARAMETERS angstrom
8.714 0.000 0.000
0.000 8.714 0.000
0.000 0.000 3.271
```

Output
Its crystal system is tetragonal. The value obtained for the volume is 20.70 A^3/atom. Its raw formation energy is 0.027 eV/atom. The space group is P4_2/m (84).

[2]
First-principles (PBE) data for a geometry-optimized Tl2CrTe4As structure, as listed in Alexandria via LeMat-Bulk. Values from VASP.

Geometry as Quantum ESPRESSO input:
```
&SYSTEM
  ibrav = 0, nat = 16, ntyp = 4
/
ATOMIC_SPECIES
Tl 204.38 Tl.upf
Cr 52.00 Cr.upf
Te 127.60 Te.upf
As 74.92 As.upf
ATOMIC_POSITIONS crystal
Tl 0.000 0.000 0.000
Tl 0.500 0.000 0.000
Tl 0.500 0.000 0.500
Tl 0.500 0.500 0.500
Cr 0.000 0.000 0.500
Cr 0.000 0.500 0.000
Te 0.195 0.738 0.457
Te 0.219 0.262 0.957
Te 0.227 0.252 0.524
Te 0.227 0.703 0.976
Te 0.773 0.297 0.024
Te 0.773 0.748 0.476
Te 0.781 0.738 0.043
Te 0.805 0.262 0.543
As 0.000 0.500 0.500
As 0.500 0.500 0.000
CELL_PARAMETERS angstrom
-4.313 4.435 6.182
4.313 -4.435 6.182
4.313 4.435 -6.182
```

Output
Its crystal system is orthorhombic. The value obtained for the volume is 29.56 A^3/atom. Its raw formation energy is -0.151 eV/atom. The space group is Imma (74).

Please write out number 1 again, unchanged.
First-principles (PBE) data for a geometry-optimized CrTeAs structure, as listed in Alexandria via LeMat-Bulk. Values from VASP.

Geometry as Quantum ESPRESSO input:
```
&SYSTEM
  ibrav = 0, nat = 12, ntyp = 3
/
ATOMIC_SPECIES
Cr 52.00 Cr.upf
Te 127.60 Te.upf
As 74.92 As.upf
ATOMIC_POSITIONS crystal
Cr 0.220 0.247 0.000
Cr 0.247 0.780 0.500
Cr 0.753 0.220 0.500
Cr 0.780 0.753 0.000
Te 0.201 0.480 0.500
Te 0.480 0.799 0.000
Te 0.520 0.201 0.000
Te 0.799 0.520 0.500
As 0.048 0.781 0.000
As 0.219 0.048 0.500
As 0.781 0.952 0.500
As 0.952 0.219 0.000
CELL_PARAMETERS angstrom
8.714 0.000 0.000
0.000 8.714 0.000
0.000 0.000 3.271
```

Output
Its crystal system is tetragonal. The value obtained for the volume is 20.70 A^3/atom. Its raw formation energy is 0.027 eV/atom. The space group is P4_2/m (84).

> Among the records above, which one has the highest raw formation energy?

CrTeAs